Below is a relaxed structure of MgV3P4O14, with properties calculated at the PBE with a Hubbard U level.

Properties
Density ... 3.444 Mg/m³
Symmetry ... P2_1/c, No. 14
Density of states at the Fermi level ... 0.00 states/eV per cell
Total energy ... -7.403 eV per atom

a = 7.4004 Å, b = 7.5756 Å, c = 9.7672 Å
α = 90.00°, β = 112.41°, γ = 90.00°
Last column: magnetic moment on the atom in μB.
Sites, in units of the cell vectors:
Mg 0.5000 0.0000 0.0000  0.00
Mg 0.5000 0.5000 0.5000  0.00
V 0.1860 0.1308 0.5175  2.74
V 0.8140 0.6308 0.9825  2.74
V 0.8140 0.8692 0.4825  2.74
V 0.1860 0.3692 0.0175  2.74
V 0.0000 0.0000 0.0000  2.73
V 0.0000 0.5000 0.5000  2.73
P 0.5869 0.9132 0.7014  0.01
P 0.4131 0.4132 0.7986  0.01
P 0.4131 0.0868 0.2986  0.01
P 0.5869 0.5868 0.2014  0.01
P 0.8583 0.2049 0.6822  0.01
P 0.1417 0.7049 0.8178  0.01
P 0.1417 0.7951 0.3178  0.01
P 0.8583 0.2951 0.1822  0.01
O 0.7912 0.3795 0.5977  0.00
O 0.2088 0.8795 0.9023  0.00
O 0.2088 0.6205 0.4023  0.00
O 0.7912 0.1205 0.0977  0.00
O 0.2883 0.3837 0.6300  -0.01
O 0.7117 0.8837 0.8700  -0.01
O 0.7117 0.6163 0.3700  -0.01
O 0.2883 0.1163 0.1300  -0.01
O 0.6214 0.7701 0.6029  0.00
O 0.3786 0.2701 0.8971  0.00
O 0.3786 0.2299 0.3971  0.00
O 0.6214 0.7299 0.1029  0.00
O 0.6605 0.0986 0.6579  0.00
O 0.3395 0.5986 0.8421  0.00
O 0.3395 0.9014 0.3421  0.00
O 0.6605 0.4014 0.1579  0.00
O 0.3790 0.5458 0.1818  0.00
O 0.6210 0.0458 0.3182  0.00
O 0.6210 0.4542 0.8182  0.00
O 0.3790 0.9542 0.6818  0.00
O 0.0340 0.7837 0.1497  0.00
O 0.9660 0.2837 0.3503  0.00
O 0.9660 0.2163 0.8503  0.00
O 0.0340 0.7163 0.6497  0.00
O 0.9694 0.4096 0.1112  0.00
O 0.0306 0.9096 0.3888  0.00
O 0.0306 0.5904 0.8888  0.00
O 0.9694 0.0904 0.6112  0.00

Below is a relaxed structure of MgVP2O, with properties calculated at the PBE with a Hubbard U level.

Properties
Density ... 3.079 Mg/m³
Symmetry ... P4/mmm, No. 123
Polymorph energy (0 for the lowest one) ... 0 meV per atom
Density of states at the Fermi level ... 2.69 states/eV per cell

a = 4.7782 Å, b = 4.7782 Å, c = 3.6192 Å
α = 90.00°, β = 90.00°, γ = 90.00°
Sites, in units of the cell vectors:
P 0.0000 0.5000 0.0000
P 0.5000 0.0000 0.0000
Mg 0.5000 0.5000 0.5000
O 0.0000 0.0000 0.5000
V 0.0000 0.0000 0.0000

Below is a relaxed structure of Mg3V4P6O24, with properties calculated at the PBE with a Hubbard U level.

Properties
Density ... 3.321 Mg/m³
Symmetry ... P-1, No. 2
Density of states at the Fermi level ... 0.00 states/eV per cell
Total energy ... -7.391 eV per atom

a = 6.4194 Å, b = 8.0148 Å, c = 9.4586 Å
α = 105.32°, β = 108.79°, γ = 101.11°
Last column: magnetic moment on the atom in μB.
Sites, in units of the cell vectors:
Mg 0.0000 0.0000 0.0000  0.00
Mg 0.7207 0.1898 0.7104  0.00
Mg 0.2793 0.8102 0.2896  0.00
V 0.6127 0.5388 0.8840  1.92
V 0.3873 0.4612 0.1160  1.92
V 0.0478 0.7169 0.5236  1.92
V 0.9522 0.2831 0.4764  1.92
P 0.7714 0.8546 0.2301  0.01
P 0.2286 0.1454 0.7699  0.01
P 0.9127 0.4094 0.1666  0.01
P 0.0873 0.5906 0.8334  0.01
P 0.3929 0.2274 0.3661  0.00
P 0.6071 0.7726 0.6339  0.00
O 0.7715 0.8006 0.0580  -0.01
O 0.2285 0.1994 0.9420  -0.01
O 0.4516 0.3634 0.2862  -0.01
O 0.5484 0.6366 0.7138  -0.01
O 0.9841 0.8171 0.3389  0.00
O 0.0159 0.1829 0.6611  0.00
O 0.8979 0.2167 0.0866  0.00
O 0.1021 0.7833 0.9134  0.00
O 0.2686 0.0361 0.2352  0.00
O 0.7314 0.9639 0.7648  0.00
O 0.6257 0.2282 0.4917  -0.01
O 0.3743 0.7718 0.5083  -0.01
O 0.9372 0.4577 0.3452  -0.02
O 0.0628 0.5423 0.6548  -0.02
O 0.5425 0.7378 0.2286  -0.01
O 0.4575 0.2622 0.7714  -0.01
O 0.1231 0.5426 0.1647  0.00
O 0.8769 0.4574 0.8353  0.00
O 0.2464 0.2776 0.4610  -0.01
O 0.7536 0.7224 0.5390  -0.01
O 0.7860 0.0532 0.2906  -0.01
O 0.2140 0.9468 0.7094  -0.01
O 0.6916 0.4591 0.0806  -0.01
O 0.3084 0.5409 0.9194  -0.01

Below is a relaxed structure of MgVP2O7, with properties calculated at the PBE with a Hubbard U level.

Properties
Density ... 3.224 Mg/m³
Symmetry ... P2_1/c, No. 14
Polymorph energy (0 for the lowest one) ... 0 meV per atom
Density of states at the Fermi level ... 0.00 states/eV per cell

a = 7.1065 Å, b = 8.5581 Å, c = 9.1446 Å
α = 90.00°, β = 112.60°, γ = 90.00°
Last column: magnetic moment on the atom in μB.
Sites, in units of the cell vectors:
Mg 0.1198 0.0568 0.8137  0.00
Mg 0.3802 0.5568 0.6863  0.00
Mg 0.6198 0.4432 0.3137  0.00
Mg 0.8802 0.9432 0.1863  0.00
V 0.3713 0.9241 0.6053  2.74
V 0.6287 0.0759 0.3947  2.74
V 0.1287 0.4241 0.8947  2.74
V 0.8713 0.5759 0.1053  2.74
P 0.1829 0.2695 0.2496  0.01
P 0.4364 0.7799 0.9660  0.01
P 0.6829 0.2305 0.7496  0.01
P 0.9364 0.7201 0.4660  0.01
P 0.3171 0.7695 0.2504  0.01
P 0.0636 0.2799 0.5340  0.01
P 0.5636 0.2201 0.0340  0.01
P 0.8171 0.7305 0.7504  0.01
O 0.3443 0.8343 0.0926  0.00
O 0.5792 0.3871 0.7061  0.00
O 0.0792 0.1129 0.2061  0.00
O 0.3554 0.6173 0.9000  0.00
O 0.6557 0.1657 0.9074  0.00
O 0.4084 0.8973 0.3760  0.00
O 0.6446 0.3827 0.1000  0.00
O 0.3568 0.9091 0.8405  0.00
O 0.1704 0.7214 0.5486  0.00
O 0.5916 0.1027 0.6240  0.00
O 0.9084 0.6027 0.8760  0.00
O 0.9166 0.2341 0.8013  0.00
O 0.5834 0.7341 0.6987  0.00
O 0.8443 0.6657 0.5926  0.00
O 0.0916 0.3973 0.1240  0.00
O 0.9208 0.8871 0.7939  0.00
O 0.0834 0.7659 0.1987  0.00
O 0.6432 0.0909 0.1595  0.00
O 0.6704 0.7786 0.0486  0.00
O 0.3296 0.2214 0.9514  0.00
O 0.1446 0.1173 0.6000  0.00
O 0.8568 0.5909 0.3405  0.00
O 0.1432 0.4091 0.6595  0.00
O 0.4208 0.6129 0.2939  0.00
O 0.4166 0.2659 0.3013  0.00
O 0.8554 0.8827 0.4000  0.00
O 0.8296 0.2786 0.4514  0.00
O 0.1557 0.3343 0.4074  0.00

Below is a relaxed structure of MgV2P2O10, with properties calculated at the PBE with a Hubbard U level.

Properties
Density ... 3.506 Mg/m³
Symmetry ... Fdd2, No. 43
Density of states at the Fermi level ... 0.00 states/eV per cell
Total energy ... -7.314 eV per atom

a = 9.8232 Å, b = 8.7962 Å, c = 6.7358 Å
α = 77.20°, β = 60.83°, γ = 41.96°
Last column: magnetic moment on the atom in μB.
Sites, in units of the cell vectors:
Mg 0.0227 0.4773 0.4773  0.00
Mg 0.7727 0.2273 0.2273  0.00
V 0.3902 0.3460 0.8821  1.08
V 0.3817 0.8821 0.3460  1.08
V 0.9040 0.8598 0.8683  1.08
V 0.3679 0.8683 0.8598  1.08
P 0.9571 0.4567 0.0339  0.00
P 0.7933 0.2929 0.6977  0.00
P 0.5523 0.0339 0.4567  0.00
P 0.2161 0.6977 0.2929  0.00
O 0.4341 0.2498 0.6020  0.00
O 0.3282 0.8375 0.6569  -0.11
O 0.4198 0.6100 0.3039  -0.01
O 0.6480 0.5359 0.8159  0.00
O 0.7571 0.9630 0.2234  0.00
O 0.3620 0.1141 0.4191  -0.01
O 0.4125 0.9218 0.0725  -0.11
O 0.1775 0.6569 0.8375  -0.11
O 0.5931 0.0725 0.9218  -0.11
O 0.2870 0.4929 0.1936  0.00
O 0.7141 0.6020 0.2498  0.00
O 0.0266 0.1936 0.4929  0.00
O 0.0564 0.2234 0.9630  0.00
O 0.1359 0.8880 0.1452  -0.01
O 0.1048 0.4191 0.1141  -0.01
O 0.8309 0.1452 0.8880  -0.01
O 0.9461 0.5837 0.8302  -0.01
O 0.6663 0.3039 0.6100  -0.01
O 0.0002 0.8159 0.5359  0.00
O 0.6400 0.8302 0.5837  -0.01

Below is a relaxed structure of MgP2WO7, with properties calculated at the PBE with a Hubbard U level.

Properties
Density ... 4.314 Mg/m³
Symmetry ... P-1, No. 2
Polymorph energy (0 for the lowest one) ... 0 meV per atom
Density of states at the Fermi level ... 0.00 states/eV per cell

a = 5.3791 Å, b = 6.6394 Å, c = 8.8664 Å
α = 102.98°, β = 89.70°, γ = 107.20°
Last column: magnetic moment on the atom in μB.
Sites, in units of the cell vectors:
Mg 0.6355 0.6563 0.3949  0.00
Mg 0.3645 0.3437 0.6051  0.00
P 0.8334 0.6954 0.8692  0.02
P 0.1666 0.3046 0.1308  0.02
P 0.7956 0.1981 0.3843  0.01
P 0.2044 0.8019 0.6157  0.01
W 0.7085 0.1734 0.8321  3.35
W 0.2915 0.8266 0.1679  3.35
O 0.9262 0.6935 0.0297  0.01
O 0.0738 0.3065 0.9703  0.01
O 0.7040 0.8662 0.8644  0.01
O 0.2960 0.1338 0.1356  0.01
O 0.6461 0.4681 0.7875  0.00
O 0.3539 0.5319 0.2125  0.00
O 0.3880 0.6622 0.5669  0.00
O 0.6120 0.3378 0.4331  0.00
O 0.0122 0.2352 0.5037  0.01
O 0.9878 0.7648 0.4963  0.01
O 0.9070 0.2708 0.2289  0.01
O 0.3600 0.0477 0.6675  0.00
O 0.6400 0.9523 0.3325  0.00
O 0.0930 0.7292 0.7711  0.01